No. 1
# ReTcGeO2, optimized geometry, DFT PBE-GGA
data_ReTcGeO2
_chemical_formula_sum 'Re1 Tc1 Ge1 O2'
_cell_length_a 3.615
_cell_length_b 3.615
_cell_length_c 5.481
_cell_angle_alpha 90.00
_cell_angle_beta 90.00
_cell_angle_gamma 90.00
_space_group_name_H-M_alt 'P 4/m m m'
_space_group_IT_number 123
_space_group_name_Hall '-P 4 2'
loop_
_atom_site_label
_atom_site_fract_x
_atom_site_fract_y
_atom_site_fract_z
_atom_site_occupancy
Re1 0.000 0.000 0.000 1
Tc1 0.500 0.500 0.000 1
Ge1 0.000 0.000 0.500 1
O1 0.000 0.500 0.500 1
# E_tot: -6.9690 eV per atom
# DOS(E_F): 0.704 states/eV per atom


No. 2
# TlReGeO6, optimized geometry, DFT PBE-GGA
data_TlReGeO6
_chemical_formula_sum 'Tl1 Re1 Ge1 O6'
_cell_length_a 5.1755
_cell_length_b 5.1755
_cell_length_c 6.1814
_cell_angle_alpha 90.00
_cell_angle_beta 90.00
_cell_angle_gamma 120.00
_space_group_name_H-M_alt 'P 3'
_space_group_IT_number 143
loop_
_space_group_symop_operation_xyz
'x,y,z'
'-y,x-y,z'
'-x+y,-x,z'
loop_
_atom_site_label
_atom_site_fract_x
_atom_site_fract_y
_atom_site_fract_z
_atom_site_occupancy
Tl1 0.0000 0.0000 0.0000 1
Re1 0.6667 0.3333 0.4905 1
Ge1 0.3333 0.6667 0.4361 1
O1 0.0026 0.3943 0.6374 1
O2 0.4077 0.3966 0.2874 1
# E_tot: -6.8563 eV per atom